(1)
Entry from the Alexandria database: an optimized crystal structure of LaLuTl2 (PBE-GGA).

a b c (Å): 3.7981 3.7981 7.9322
angles (deg): 90.00 90.00 90.00
Last column: nearest neighbours and their distance in Å.
Space group P4/mmm (No. 123)
Unique sites:
La 0.0000 0.0000 0.0000  8 Tl 3.45, 4 La 3.80
Lu 0.0000 0.0000 0.5000  8 Tl 3.23
Tl 0.5000 0.5000 0.2729  4 Lu 3.23, 4 La 3.45, 1 Tl 3.60

Its total energy is -15.62 eV per cell.

(2)
Entry from the Alexandria database: an optimized crystal structure of PaGaPb2 (PBE-GGA).

a b c (Å): 3.3202 3.3202 34.5969
angles (deg): 90.00 90.00 120.00
Last column: nearest neighbours and their distance in Å.
Space group R-3m (No. 166, hexagonal axes)
Unique sites:
Pa 0.0000 0.0000 0.0000  2 Pb 3.27, 6 Pa 3.32
Ga 0.0000 0.0000 0.5000  6 Pb 3.15, 6 Ga 3.32
Pb 0.0000 0.0000 0.0944  3 Ga 3.15, 1 Pa 3.27, 6 Pb 3.32

The calculation puts the distance to the lowest polymorph of the same formula at 411 meV per atom.

(3)
Entry from the Alexandria database: an optimized crystal structure of Cr3IrN (PBE-GGA).

a b c (Å): 3.8183 3.8183 3.8183
angles (deg): 90.00 90.00 90.00
Last column: nearest neighbours and their distance in Å.
Space group Pm-3m (No. 221)
Unique sites:
Cr 0.0000 0.0000 0.5000  2 N 1.91
Ir 0.5000 0.5000 0.5000  12 Cr 2.70
N 0.0000 0.0000 0.0000  6 Cr 1.91

The uncorrected formation energy comes out at -0.305 eV per atom. The calculation puts the distance to the lowest polymorph of the same formula at 0 meV per atom.

(4)
Entry from the Alexandria database: an optimized crystal structure of Ho3Mg2Pt3 (PBE-GGA).

a b c (Å): 3.4148 4.9205 20.5603
angles (deg): 90.00 90.00 90.00
Last column: nearest neighbours and their distance in Å.
Space group Immm (No. 71)
Unique sites:
Ho 0.0000 0.0000 0.0000  8 Pt 2.99-3.00
Ho 0.0000 0.5000 0.1187  6 Pt 2.98-2.99, 2 Mg 3.34
Mg 0.0000 0.0000 0.2282  2 Pt 2.81, 4 Mg 3.13
Pt 0.0000 0.0000 0.5000  8 Ho 2.98-2.99
Pt 0.0000 0.5000 0.3801  2 Mg 2.81, 6 Ho 2.99-3.00

The calculation puts the distance to the lowest polymorph of the same formula at 124 meV per atom.

(5)
Entry from the Alexandria database: an optimized crystal structure of DyIn9Ir2 (PBE-GGA).

a b c (Å): 12.4006 12.4006 7.1975
angles (deg): 90.00 90.00 90.00
Last column: nearest neighbours and their distance in Å.
Space group I4_1/amd (No. 141, origin choice 2)
Unique sites:
Dy 0.0000 0.2500 0.3750  10 In 3.41-3.60
In 0.0000 0.2500 0.8750  8 In 3.08, 4 Ir 3.23
In 0.1197 0.0694 0.6668  2 Ir 2.83-2.95, 5 In 2.95-3.15
Ir 0.0000 0.0000 0.0000  8 In 2.83-2.95

Its total energy is -188.87 eV per cell.

(6)
Entry from the Alexandria database: an optimized crystal structure of La2Y3Ho8 (PBE-GGA).

a b c (Å): 21.1760 7.6224 5.4978
angles (deg): 90.00 90.01 90.00
Last column: nearest neighbours and their distance in Å.
Space group C2/m (No. 12)
Unique sites:
La 0.2402 0.0000 0.4994  8 Ho 3.49-3.67, 2 La 3.83
Y 0.0000 0.0000 0.5000  4 Ho 3.13
Y 0.0000 0.2879 0.0000  3 Y 3.23-3.52, 6 Ho 3.44-3.55
Ho 0.1061 0.2869 0.5002  1 Y 3.13, 3 Ho 3.25-3.38
Ho 0.1254 0.0000 0.0000  4 Y 3.44-3.82, 4 Ho 3.54, 2 La 3.67
Ho 0.1584 0.5000 0.0004  4 Ho 3.38, 2 La 3.49, 2 Y 3.72

Its total energy is -125.34 eV per cell.

(7)
Entry from the Alexandria database: an optimized crystal structure of NaPm5Tl8 (PBE-GGA).

a b c (Å): 9.4798 9.4798 9.3232
angles (deg): 90.00 90.00 90.00
Last column: nearest neighbours and their distance in Å.
Space group I-4 (No. 82)
Unique sites:
Na 0.0000 0.0000 0.0000  8 Tl 3.14-3.24
Pm 0.0000 0.5000 0.7500  8 Tl 3.23-3.30
Pm 0.1196 0.7658 0.3864  8 Tl 3.24-3.36
Tl 0.0719 0.6700 0.0503  1 Na 3.24, 5 Pm 3.29-3.36, 3 Tl 3.37-3.60
Tl 0.0906 0.8282 0.7269  1 Na 3.14, 5 Pm 3.23-3.29, 1 Tl 3.37

Its total energy is -94.95 eV per cell.

(8)
Entry from the Alexandria database: an optimized crystal structure of CeNdDy3Ho (PBE-GGA).

a b c (Å): 5.8835 11.1549 11.7674
angles (deg): 90.00 90.00 90.00
Last column: nearest neighbours and their distance in Å.
Space group Cmcm (No. 63)
Unique sites:
Ce 0.0000 0.0005 0.2500  7 Dy 3.50-3.64, 3 Ho 3.51-3.67
Nd 0.0000 0.5000 0.0000  8 Dy 3.50-3.68, 2 Ho 3.51
Dy 0.0000 0.1704 0.5007  1 Ho 3.42, 4 Dy 3.43-3.80, 2 Ce 3.50-3.51, 3 Nd 3.50-3.68
Dy 0.0000 0.3268 0.2500  2 Ho 3.41, 2 Dy 3.43, 2 Nd 3.52, 3 Ce 3.52-3.64
Ho 0.0000 0.3283 0.7500  4 Dy 3.41-3.42, 3 Ce 3.51-3.67, 2 Nd 3.51

Its total energy is -112.66 eV per cell.

(9)
Entry from the Alexandria database: an optimized crystal structure of ZnHg2Pd4 (PBE-GGA).

a b c (Å): 5.7792 5.7792 7.5983
angles (deg): 90.00 90.00 90.00
Last column: nearest neighbours and their distance in Å.
Space group I4/mmm (No. 139)
Unique sites:
Zn 0.0000 0.0000 0.0000  8 Pd 2.79, 4 Hg 2.89
Hg 0.0000 0.5000 0.0000  8 Pd 2.79, 2 Zn 2.89
Pd 0.2500 0.2500 0.2500  4 Hg 2.79, 2 Zn 2.79, 4 Pd 2.89

The calculation puts the distance to the lowest polymorph of the same formula at 23 meV per atom.

(10)
Entry from the Alexandria database: an optimized crystal structure of BiPdBr2 (PBE-GGA).

a b c (Å): 7.8373 7.8373 6.5925
angles (deg): 90.00 90.00 90.00
Last column: nearest neighbours and their distance in Å.
Space group I-42d (No. 122)
Unique sites:
Bi 0.0000 0.0000 0.0000  4 Br 3.11, 2 Pd 3.30
Pd 0.0000 0.0000 0.5000  4 Br 2.69
Br 0.2097 0.2500 0.6250  2 Pd 2.69

The uncorrected formation energy comes out at 0.024 eV per atom. The calculation puts the distance to the lowest polymorph of the same formula at 92 meV per atom.

(11)
Entry from the Alexandria database: an optimized crystal structure of PrScHg2 (PBE-GGA).

a b c (Å): 7.4274 7.4274 7.4274
angles (deg): 90.00 90.00 90.00
Last column: nearest neighbours and their distance in Å.
Space group Fm-3m (No. 225)
Unique sites:
Pr 0.0000 0.0000 0.0000  8 Hg 3.22
Sc 0.0000 0.0000 0.5000  8 Hg 3.22
Hg 0.2500 0.2500 0.2500  4 Pr 3.22, 4 Sc 3.22

The calculation puts the distance to the lowest polymorph of the same formula at 28 meV per atom.

(12)
Entry from the Alexandria database: an optimized crystal structure of Hf3NiP2 (PBE-GGA).

a b c (Å): 10.4260 3.6335 10.3542
angles (deg): 90.00 90.00 90.00
Last column: nearest neighbours and their distance in Å.
Space group Pnma (No. 62)
Unique sites:
Hf 0.0518 0.2500 0.1211  5 P 2.65-2.79, 1 Ni 2.78
Hf 0.1226 0.7500 0.5674  3 Ni 2.67-2.68, 5 P 2.71-2.82
Hf 0.2033 0.2500 0.7970  2 Ni 2.66, 4 P 2.66-2.80
Ni 0.1291 0.2500 0.3784  3 P 2.21-2.26
P 0.0280 0.7500 0.3118  2 Ni 2.21
P 0.1890 0.7500 0.9969  1 Ni 2.26

Its total energy is -210.98 eV per cell.

Number 1: total moment 0.00 μB per formula unit. Number 2: total moment 0.27 μB per formula unit. Number 3: total moment 0.00 μB per formula unit. Number 4: total moment 0.00 μB per formula unit. Number 5: total moment 0.00 μB per formula unit. Number 6: total moment 0.01 μB per formula unit. Number 7: total moment 0.00 μB per formula unit. Number 8: total moment 1.36 μB per formula unit. Number 9: total moment 0.00 μB per formula unit. Number 10: total moment 0.00 μB per formula unit. Number 11: total moment 0.71 μB per formula unit. Number 12: total moment 0.00 μB per formula unit.